Here is crystalline PtSe2F at its relaxed geometry from Alexandria via LeMat-Bulk. Energies are from PBE-GGA.

Unit cell a=4.4842 b=4.4842 c=15.8517 alpha=90.00 beta=90.00 gamma=120.00
Positions (direct):
Pt 0.0000 0.0000 0.0000
Pt 0.3333 0.6667 0.6667
Pt 0.6667 0.3333 0.3333
Se 0.0000 0.0000 0.1473
Se 0.0000 0.0000 0.8527
Se 0.3333 0.6667 0.5194
Se 0.3333 0.6667 0.8140
Se 0.6667 0.3333 0.1860
Se 0.6667 0.3333 0.4806
F 0.0000 0.0000 0.5000
F 0.3333 0.6667 0.1667
F 0.6667 0.3333 0.8333

Properties
Formation energy (no corrections) (eV per formula unit): -0.02
Energy above the most stable polymorph in this dataset (meV/atom): 715
Symmetry: R-3m

***

Here is crystalline CaCr2Ni2 at its relaxed geometry from Alexandria via LeMat-Bulk. Energies are from PBE-GGA.

Unit cell a=7.4026 b=7.4026 c=2.8180 alpha=90.00 beta=90.00 gamma=90.00
Positions (direct):
Ca 0.0000 0.0000 0.0000
Ca 0.5000 0.5000 0.0000
Cr 0.1363 0.3637 0.5000
Cr 0.3637 0.8637 0.5000
Cr 0.6363 0.1363 0.5000
Cr 0.8637 0.6363 0.5000
Ni 0.1537 0.6537 0.0000
Ni 0.3463 0.1537 0.0000
Ni 0.6537 0.8463 0.0000
Ni 0.8463 0.3463 0.0000

Properties
Energy above the most stable polymorph in this dataset (meV/atom): 12
Symmetry: P4/mbm
Energy relative to the elements (eV/atom): 0.3681

***

Here is crystalline La3SmTl2 at its relaxed geometry from Alexandria via LeMat-Bulk. Energies are from PBE-GGA.

Unit cell a=5.2703 b=10.5845 c=6.9350 alpha=90.00 beta=90.00 gamma=90.00
Positions (direct):
La 0.0000 0.0545 0.0000
La 0.0000 0.3123 0.4064
La 0.0000 0.6877 0.9064
La 0.0000 0.9455 0.5000
La 0.5000 0.1809 0.7835
La 0.5000 0.8191 0.2835
Sm 0.5000 0.4575 0.1395
Sm 0.5000 0.5425 0.6395
Tl 0.0000 0.3759 0.8824
Tl 0.0000 0.6241 0.3824
Tl 0.5000 0.1374 0.2916
Tl 0.5000 0.8626 0.7916

Properties
Energy above the most stable polymorph in this dataset (meV/atom): 0
Symmetry: Pmc2_1
Energy relative to the elements (eV/atom): -0.2983

***

Here is crystalline Sr4MgZn3 at its relaxed geometry from Alexandria via LeMat-Bulk. Energies are from PBE-GGA.

Unit cell a=5.5893 b=5.5893 c=8.0464 alpha=90.00 beta=90.00 gamma=90.00
Positions (direct):
Sr 0.0000 0.5000 0.2389
Sr 0.0000 0.5000 0.7611
Sr 0.5000 0.0000 0.2389
Sr 0.5000 0.0000 0.7611
Mg 0.0000 0.0000 0.5000
Zn 0.0000 0.0000 0.0000
Zn 0.5000 0.5000 0.0000
Zn 0.5000 0.5000 0.5000

Properties
Energy above the most stable polymorph in this dataset (meV/atom): 13
Symmetry: P4/mmm
Energy relative to the elements (eV/atom): -0.1330

***

Here is crystalline PrMgCdCu at its relaxed geometry from Alexandria via LeMat-Bulk. Energies are from PBE-GGA.

Unit cell a=7.1302 b=7.1302 c=7.1302 alpha=90.00 beta=90.00 gamma=90.00
Positions (direct):
Pr 0.0000 0.0000 0.0000
Pr 0.0000 0.5000 0.5000
Pr 0.5000 0.0000 0.5000
Pr 0.5000 0.5000 0.0000
Mg 0.0000 0.0000 0.5000
Mg 0.0000 0.5000 0.0000
Mg 0.5000 0.0000 0.0000
Mg 0.5000 0.5000 0.5000
Cd 0.2500 0.2500 0.7500
Cd 0.2500 0.7500 0.2500
Cd 0.7500 0.2500 0.2500
Cd 0.7500 0.7500 0.7500
Cu 0.2500 0.2500 0.2500
Cu 0.2500 0.7500 0.7500
Cu 0.7500 0.2500 0.7500
Cu 0.7500 0.7500 0.2500

Properties
Symmetry: F-43m
Energy relative to the elements (eV/atom): -0.2087

***

Here is crystalline SiNi5Ge at its relaxed geometry from Alexandria via LeMat-Bulk. Energies are from PBE-GGA.

Unit cell a=3.6570 b=3.6570 c=6.2091 alpha=90.00 beta=90.00 gamma=90.00
Positions (direct):
Si 0.0000 0.0000 0.0000
Ni 0.0000 0.0000 0.5000
Ni 0.0000 0.5000 0.2204
Ni 0.0000 0.5000 0.7796
Ni 0.5000 0.0000 0.2204
Ni 0.5000 0.0000 0.7796
Ge 0.5000 0.5000 0.5000

Properties
Formation energy (no corrections) (eV per formula unit): -2.47
Energy above the most stable polymorph in this dataset (meV/atom): 0
Symmetry: P4/mmm

***

Here is crystalline ThAl3Cu3 at its relaxed geometry from Alexandria via LeMat-Bulk. Energies are from PBE-GGA.

Unit cell a=8.1888 b=4.2407 c=8.2134 alpha=90.00 beta=119.86 gamma=90.00
Positions (direct):
Th 0.1667 0.2500 0.3323
Th 0.8333 0.7500 0.6677
Al 0.2265 0.2500 0.9597
Al 0.2652 0.7500 0.7259
Al 0.4617 0.7500 0.2347
Al 0.5383 0.2500 0.7653
Al 0.7348 0.2500 0.2741
Al 0.7735 0.7500 0.0403
Cu 0.0516 0.2500 0.6108
Cu 0.1121 0.7500 0.0590
Cu 0.4397 0.7500 0.5508
Cu 0.5603 0.2500 0.4492
Cu 0.8879 0.2500 0.9410
Cu 0.9484 0.7500 0.3892

Properties
Energy above the most stable polymorph in this dataset (meV/atom): 137
Symmetry: P2_1/m
Energy relative to the elements (eV/atom): -0.1373

***

Here is crystalline BiPSe2 at its relaxed geometry from Alexandria via LeMat-Bulk. Energies are from PBE-GGA.

Unit cell a=5.3512 b=5.3512 c=15.9688 alpha=90.00 beta=90.00 gamma=90.00
Positions (direct):
Bi 0.0000 0.0000 0.0000
Bi 0.0000 0.5000 0.2500
Bi 0.5000 0.0000 0.7500
Bi 0.5000 0.5000 0.5000
P 0.0000 0.0000 0.5000
P 0.0000 0.5000 0.7500
P 0.5000 0.0000 0.2500
P 0.5000 0.5000 0.0000
Se 0.1968 0.2500 0.6250
Se 0.2500 0.6968 0.8750
Se 0.2500 0.8032 0.3750
Se 0.3032 0.2500 0.1250
Se 0.6968 0.7500 0.1250
Se 0.7500 0.1968 0.3750
Se 0.7500 0.3032 0.8750
Se 0.8032 0.7500 0.6250

Properties
Formation energy (no corrections) (eV per formula unit): 0.91
Energy above the most stable polymorph in this dataset (meV/atom): 162
Symmetry: I-42d

***

Here is crystalline Li3MgCo at its relaxed geometry from Alexandria via LeMat-Bulk. Energies are from PBE-GGA.

Unit cell a=4.5717 b=4.5717 c=4.5717 alpha=90.00 beta=90.00 gamma=90.00
Positions (direct):
Li 0.0000 0.0000 0.5000
Li 0.0000 0.5000 0.0000
Li 0.5000 0.0000 0.0000
Mg 0.5000 0.5000 0.5000
Co 0.0000 0.0000 0.0000

Properties
Energy above the most stable polymorph in this dataset (meV/atom): 0
Symmetry: Pm-3m
Energy relative to the elements (eV/atom): 0.5279

***

Here is crystalline KTa4Cu at its relaxed geometry from Alexandria via LeMat-Bulk. Energies are from PBE-GGA.

Unit cell a=5.6371 b=5.6371 c=5.6371 alpha=60.00 beta=60.00 gamma=60.00
Positions (direct):
K 0.0000 0.0000 0.0000
Ta 0.1230 0.6257 0.6257
Ta 0.6257 0.1230 0.6257
Ta 0.6257 0.6257 0.1230
Ta 0.6257 0.6257 0.6257
Cu 0.2500 0.2500 0.2500

Properties
Symmetry: F-43m
Energy relative to the elements (eV/atom): 1.1472

***

Here is crystalline K2AlRe at its relaxed geometry from Alexandria via LeMat-Bulk. Energies are from PBE-GGA.

Unit cell a=3.9349 b=3.9349 c=11.6034 alpha=90.00 beta=90.00 gamma=90.00
Positions (direct):
K 0.0000 0.5000 0.2500
K 0.0000 0.5000 0.7500
K 0.5000 0.0000 0.2500
K 0.5000 0.0000 0.7500
Al 0.0000 0.0000 0.0000
Al 0.5000 0.5000 0.5000
Re 0.0000 0.0000 0.5000
Re 0.5000 0.5000 0.0000

Properties
Symmetry: I4/mmm
Energy relative to the elements (eV/atom): 1.1963

***

Here is crystalline MgTiPb2O5 at its relaxed geometry from Alexandria via LeMat-Bulk. Energies are from PBE-GGA.

Unit cell a=6.4179 b=6.4179 c=12.7099 alpha=90.00 beta=90.00 gamma=148.14
Positions (direct):
Mg 0.2370 0.7630 0.5000
Mg 0.7630 0.2370 0.0000
Ti 0.4553 0.5447 0.9326
Ti 0.5447 0.4553 0.4326
Pb 0.0756 0.9244 0.1378
Pb 0.1743 0.8257 0.7624
Pb 0.8257 0.1743 0.2624
Pb 0.9244 0.0756 0.6378
O 0.0704 0.9296 0.4918
O 0.2621 0.7379 0.1384
O 0.2933 0.7067 0.9085
O 0.4022 0.5978 0.5153
O 0.4900 0.5100 0.3053
O 0.5100 0.4900 0.8053
O 0.5978 0.4022 0.0153
O 0.7067 0.2933 0.4085
O 0.7379 0.2621 0.6384
O 0.9296 0.0704 0.9918

Properties
Formation energy (no corrections) (eV per formula unit): -18.29
Symmetry: Cmc2_1